Record 1
# PBE-GGA AlTl2Co, optimized geometry
data_AlTl2Co
_chemical_formula_sum 'Al2 Tl4 Co2'
_space_group_name_H-M_alt 'C 1 2/m 1'
_space_group_IT_number 12
_cell_length_a 8.938
_cell_length_b 3.402
_cell_length_c 5.560
_cell_angle_alpha 90.00
_cell_angle_beta 104.58
_cell_angle_gamma 90.00
loop_
_space_group_symop_operation_xyz
'x,y,z'
'-x,-y,-z'
'-x,y,-z'
'x,-y,z'
'x+1/2,y+1/2,z'
'-x+1/2,-y+1/2,-z'
'-x+1/2,y+1/2,-z'
'x+1/2,-y+1/2,z'
loop_
_atom_site_label
_atom_site_fract_x
_atom_site_fract_y
_atom_site_fract_z
Al1 0.000 0.000 0.000
Tl1 0.239 0.000 0.732
Co1 0.000 0.500 0.500
# E above lowest polymorph = 1.61 eV per formula unit
# Formation energy from the elements = 53.2 kJ per mole of atoms
# ρ = 10.04 g cm⁻³
# Raw total energy = -3.34 eV per atom


Record 2
# PBE-GGA AlTl2Co2, optimized geometry
data_AlTl2Co2
_chemical_formula_sum 'Al2 Tl4 Co4'
_space_group_name_H-M_alt 'P 4/m b m'
_space_group_IT_number 127
_space_group_name_Hall '-P 4 2ab'
_cell_length_a 7.554
_cell_length_b 7.554
_cell_length_c 3.062
_cell_angle_alpha 90.00
_cell_angle_beta 90.00
_cell_angle_gamma 90.00
loop_
_atom_site_label
_atom_site_fract_x
_atom_site_fract_y
_atom_site_fract_z
Al1 0.000 0.000 0.000
Tl1 0.151 0.349 0.000
Co1 0.147 0.647 0.500
# E above lowest polymorph = 0.79 eV per formula unit
# Formation energy from the elements = 61.2 kJ per mole of atoms
# ρ = 10.52 g cm⁻³
# Raw total energy = -3.90 eV per atom


Record 3
# PBE-GGA Al2TlCo, optimized geometry
data_Al2TlCo
_chemical_formula_sum 'Al8 Tl4 Co4'
_space_group_name_H-M_alt 'F -4 3 m'
_space_group_IT_number 216
_space_group_name_Hall 'F -4 2 3'
_cell_length_a 6.473
_cell_length_b 6.473
_cell_length_c 6.473
_cell_angle_alpha 90.00
_cell_angle_beta 90.00
_cell_angle_gamma 90.00
loop_
_atom_site_label
_atom_site_fract_x
_atom_site_fract_y
_atom_site_fract_z
Al1 0.000 0.000 0.000
Al2 0.250 0.250 0.250
Tl1 0.250 0.250 0.750
Co1 0.000 0.000 0.500
# E above lowest polymorph = 2.02 eV per formula unit
# Formation energy from the elements = 42.7 kJ per mole of atoms
# ρ = 7.77 g cm⁻³
# Raw total energy = -3.80 eV per atom